Record 1
A relaxed Tl3Hg7Au2 crystal. Source: the Alexandria database, functional PBE-GGA.

a = 15.292 Å, b = 15.292 Å, c = 4.737 Å
α = 90.00°, β = 90.00°, γ = 162.32°
Fractional positions:
Tl1 0.000 0.000 0.000
Tl2 0.207 0.793 0.500
Tl3 0.793 0.207 0.500
Hg1 0.085 0.915 0.500
Hg2 0.294 0.706 0.000
Hg3 0.414 0.586 0.000
Hg4 0.500 0.500 0.500
Hg5 0.586 0.414 0.000
Hg6 0.706 0.294 0.000
Hg7 0.915 0.085 0.500
Au1 0.144 0.856 0.000
Au2 0.856 0.144 0.000

Results
Excess energy over the best structure of this formula in the dataset: 0 meV per atom
Size of the total moment: 0.0 Bohr magnetons per cell
ΔH_f (0 K): 6 meV/atom
Density of states at the Fermi level: 3.589 states/eV/f.u.
DFT total energy: -1.308 eV/atom
Symmetry: Cmmm (65)

=====

Record 2
A relaxed Tl7Hg2Au crystal. Source: the Alexandria database, functional PBE-GGA.

a = 8.753 Å, b = 8.753 Å, c = 11.789 Å
α = 124.31°, β = 124.31°, γ = 57.99°
Fractional positions:
Tl1 0.037 0.765 0.934
Tl2 0.180 0.315 0.924
Tl3 0.213 0.787 0.750
Tl4 0.235 0.963 0.566
Tl5 0.315 0.180 0.424
Tl6 0.361 0.479 0.319
Tl7 0.479 0.361 0.819
Tl8 0.521 0.639 0.181
Tl9 0.639 0.521 0.681
Tl10 0.685 0.820 0.576
Tl11 0.765 0.037 0.434
Tl12 0.787 0.213 0.250
Tl13 0.820 0.685 0.076
Tl14 0.963 0.235 0.066
Hg1 0.005 0.411 0.605
Hg2 0.411 0.005 0.105
Hg3 0.589 0.995 0.895
Hg4 0.995 0.589 0.395
Au1 0.155 0.845 0.250
Au2 0.845 0.155 0.750

Results
Size of the total moment: 0.0 Bohr magnetons per cell
ΔH_f (0 K): -9 meV/atom
Density of states at the Fermi level: 4.380 states/eV/f.u.
DFT total energy: -2.053 eV/atom
Symmetry: C2/c (15)

=====

Record 3
A relaxed TlHgAu2 crystal. Source: the Alexandria database, functional PBE-GGA.

a = 6.568 Å, b = 3.457 Å, c = 8.596 Å
α = 90.00°, β = 102.46°, γ = 90.00°
Fractional positions:
Tl1 0.000 0.000 0.000
Tl2 0.500 0.500 0.000
Hg1 0.257 0.500 0.295
Hg2 0.757 0.000 0.295
Au1 0.005 0.500 0.532
Au2 0.247 0.000 0.752
Au3 0.505 0.000 0.532
Au4 0.747 0.500 0.752

Results
Excess energy over the best structure of this formula in the dataset: 97 meV per atom
Size of the total moment: 0.0 Bohr magnetons per cell
ΔH_f (0 K): 96 meV/atom
Density of states at the Fermi level: 0.878 states/eV/f.u.
DFT total energy: -2.209 eV/atom
Symmetry: Cm (8)

=====

Record 4
A relaxed TlHg14Au crystal. Source: the Alexandria database, functional PBE-GGA.

a = 6.582 Å, b = 6.582 Å, c = 10.518 Å
α = 90.00°, β = 90.00°, γ = 106.13°
Fractional positions:
Tl1 0.000 0.000 0.000
Hg1 0.000 0.000 0.500
Hg2 0.000 0.500 0.000
Hg3 0.000 0.500 0.500
Hg4 0.215 0.785 0.257
Hg5 0.215 0.785 0.743
Hg6 0.296 0.296 0.236
Hg7 0.296 0.296 0.764
Hg8 0.500 0.000 0.000
Hg9 0.500 0.000 0.500
Hg10 0.500 0.500 0.500
Hg11 0.704 0.704 0.236
Hg12 0.704 0.704 0.764
Hg13 0.785 0.215 0.257
Hg14 0.785 0.215 0.743
Au1 0.500 0.500 0.000

Results
Size of the total moment: 0.0 Bohr magnetons per cell
ΔH_f (0 K): 30 meV/atom
Density of states at the Fermi level: 3.570 states/eV/f.u.
DFT total energy: -0.587 eV/atom
Symmetry: Cmmm (65)

=====

Record 5
A relaxed TlHgAu2 crystal. Source: the Alexandria database, functional PBE-GGA.

a = 3.021 Å, b = 3.971 Å, c = 7.694 Å
α = 90.00°, β = 90.00°, γ = 90.00°
Fractional positions:
Tl1 0.000 0.000 0.000
Hg1 0.500 0.500 0.682
Au1 0.000 0.000 0.451
Au2 0.500 0.500 0.256

Results
Excess energy over the best structure of this formula in the dataset: 59 meV per atom
Size of the total moment: 0.0 Bohr magnetons per cell
ΔH_f (0 K): 59 meV/atom
Density of states at the Fermi level: 1.385 states/eV/f.u.
DFT total energy: -2.247 eV/atom
Symmetry: Pmm2 (25)

=====

Record 6
A relaxed TlHgAu2 crystal. Source: the Alexandria database, functional PBE-GGA.

a = 8.143 Å, b = 8.143 Å, c = 5.759 Å
α = 90.00°, β = 90.00°, γ = 90.00°
Fractional positions:
Tl1 0.000 0.000 0.000
Tl2 0.000 0.500 0.250
Tl3 0.500 0.000 0.750
Tl4 0.500 0.500 0.500
Hg1 0.000 0.000 0.500
Hg2 0.000 0.500 0.750
Hg3 0.500 0.000 0.250
Hg4 0.500 0.500 0.000
Au1 0.244 0.250 0.625
Au2 0.250 0.744 0.875
Au3 0.250 0.756 0.375
Au4 0.256 0.250 0.125
Au5 0.744 0.750 0.125
Au6 0.750 0.244 0.375
Au7 0.750 0.256 0.875
Au8 0.756 0.750 0.625

Results
Excess energy over the best structure of this formula in the dataset: 112 meV per atom
Size of the total moment: 0.0 Bohr magnetons per cell
ΔH_f (0 K): 111 meV/atom
Density of states at the Fermi level: 1.418 states/eV/f.u.
DFT total energy: -2.195 eV/atom
Symmetry: I-42d (122)

=====

Q: The highest ΔH_f (0 K) belongs to which entry?
A: number 6